DFT (GGA-PBE) results for a relaxed SrYTe2 crystal.

Geometry as CIF:
```
data_SrYTe2
_symmetry_space_group_name_H-M 'F -4 3 m'
_symmetry_Int_Tables_number 216
_symmetry_space_group_name_Hall 'F -4 2 3'
_cell_length_a 7.887
_cell_length_b 7.887
_cell_length_c 7.887
_cell_angle_alpha 90.00
_cell_angle_beta 90.00
_cell_angle_gamma 90.00
loop_
_atom_site_label
_atom_site_type_symbol
_atom_site_fract_x
_atom_site_fract_y
_atom_site_fract_z
Sr1 Sr 0.000 0.000 0.000
Y1 Y 0.250 0.250 0.250
Te1 Te 0.000 0.000 0.500
Te2 Te 0.250 0.250 0.750
```

The calculation puts the formation energy from raw total energies at -0.458 eV/atom.

***

DFT (GGA-PBE) results for a relaxed Y3ErCo2 crystal.

Geometry as CIF:
```
data_Y3ErCo2
_symmetry_space_group_name_H-M 'C 1 2/m 1'
_symmetry_Int_Tables_number 12
_cell_length_a 16.440
_cell_length_b 3.750
_cell_length_c 11.532
_cell_angle_alpha 90.00
_cell_angle_beta 123.65
_cell_angle_gamma 90.00
loop_
_symmetry_equiv_pos_as_xyz
'x,y,z'
'-x,-y,-z'
'-x,y,-z'
'x,-y,z'
'x+1/2,y+1/2,z'
'-x+1/2,-y+1/2,-z'
'-x+1/2,y+1/2,-z'
'x+1/2,-y+1/2,z'
loop_
_atom_site_label
_atom_site_type_symbol
_atom_site_fract_x
_atom_site_fract_y
_atom_site_fract_z
Y1 Y 0.083 0.000 0.438
Y2 Y 0.083 0.000 0.941
Y3 Y 0.159 0.500 0.746
Er1 Er 0.161 0.500 0.249
Co1 Co 0.233 0.500 0.046
Co2 Co 0.233 0.500 0.547
```

Its total energy is -6.52 eV/atom.